[1]
{
  "formula": "Pm2ErMg9",
  "functional": "GGA-PBE",
  "state": "relaxed",
  "lattice": [[6.0636, 0.0000, 0.0000], [3.0318, 5.2512, 0.0000], [3.0318, 1.7504, 9.7777]],
  "species": ["Mg", "Mg", "Mg", "Mg", "Pm", "Mg", "Mg", "Mg", "Er", "Pm", "Mg", "Mg"],
  "fractional_positions": [[0.4149, 0.9208, 0.2495], [0.6660, 0.6660, 0.0019], [0.5851, 0.0792, 0.7505], [0.3340, 0.3340, 0.9981], [0.1415, 0.1415, 0.5756], [0.0792, 0.5851, 0.7505], [0.4149, 0.4149, 0.2495], [0.9208, 0.4149, 0.2495], [0.0000, 0.0000, 0.0000], [0.8585, 0.8585, 0.4244], [0.5000, 0.5000, 0.5000], [0.5851, 0.5851, 0.7505]],
  "space_group": "R-3m (166)",
  "total_magnetization_mub_per_atom": 0.00,
  "ef_kcal_per_mol_atoms": -0.77,
  "energy_ev_per_atom": -2.401
}

=====

[2]
{
  "formula": "Pm12Er3Mg",
  "functional": "GGA-PBE",
  "state": "relaxed",
  "lattice": [[5.0805, 0.0000, 0.0000], [0.0000, 5.0805, 0.0000], [0.0000, 0.0000, 20.4170]],
  "species": ["Pm", "Pm", "Pm", "Pm", "Pm", "Pm", "Er", "Pm", "Pm", "Er", "Pm", "Er", "Pm", "Mg", "Pm", "Pm"],
  "fractional_positions": [[0.5000, 0.0000, 0.1234], [0.5000, 0.5000, 0.5000], [0.5000, 0.0000, 0.6258], [0.5000, 0.5000, 0.2471], [0.5000, 0.0000, 0.3742], [0.5000, 0.0000, 0.8766], [0.0000, 0.0000, 0.2484], [0.0000, 0.5000, 0.3742], [0.0000, 0.5000, 0.8766], [0.0000, 0.0000, 0.5000], [0.5000, 0.5000, 0.0000], [0.0000, 0.0000, 0.7516], [0.0000, 0.5000, 0.1234], [0.0000, 0.0000, 0.0000], [0.0000, 0.5000, 0.6258], [0.5000, 0.5000, 0.7529]],
  "space_group": "P4/mmm (123)",
  "total_magnetization_mub_per_atom": 0.00,
  "ef_kcal_per_mol_atoms": 0.27,
  "energy_ev_per_atom": -4.506
}

=====

[3]
{
  "formula": "Pm4Er2Mg",
  "functional": "GGA-PBE",
  "state": "relaxed",
  "lattice": [[3.6569, 0.0000, 0.0000], [0.0001, 5.3852, -2.5066], [-0.0002, 0.8265, 11.5414]],
  "species": ["Pm", "Mg", "Er", "Pm", "Er", "Pm", "Pm"],
  "fractional_positions": [[0.0000, 0.6591, 0.2059], [0.0000, 0.0000, 0.0000], [0.0000, 0.5000, 0.5000], [0.5000, 0.8126, 0.7488], [0.5000, 0.0000, 0.5000], [0.5000, 0.1874, 0.2512], [0.0000, 0.3409, 0.7941]],
  "space_group": "P2/m (10)",
  "total_magnetization_mub_per_atom": 0.00,
  "ef_kcal_per_mol_atoms": 2.82,
  "energy_ev_per_atom": -4.124,
  "relative_energy_ev_per_atom": 0.000
}

=====

[4]
{
  "formula": "PmEr2Mg",
  "functional": "GGA-PBE",
  "state": "relaxed",
  "lattice": [[3.6053, 0.0000, 0.0000], [0.0000, 3.6053, 0.0000], [0.0000, 0.0000, 9.1429]],
  "species": ["Mg", "Er", "Er", "Pm"],
  "fractional_positions": [[0.5000, 0.5000, 0.0000], [0.0000, 0.0000, 0.2289], [0.0000, 0.0000, 0.7711], [0.5000, 0.5000, 0.5000]],
  "space_group": "P4/mmm (123)",
  "total_magnetization_mub_per_atom": 0.00,
  "ef_kcal_per_mol_atoms": -0.56,
  "energy_ev_per_atom": -3.892,
  "relative_energy_ev_per_atom": 0.004
}

=====

[5]
{
  "formula": "Pm2Er2Mg",
  "functional": "GGA-PBE",
  "state": "relaxed",
  "lattice": [[-3.0535, -1.0319, 1.5725], [0.5086, -6.4090, -3.2180], [7.3444, 1.1519, 10.9279]],
  "species": ["Er", "Er", "Pm", "Er", "Mg", "Er", "Pm", "Mg", "Pm", "Pm"],
  "fractional_positions": [[0.1987, 0.5483, 0.3976], [0.8011, 0.9517, 0.6024], [0.4058, 0.3578, 0.8105], [0.1989, 0.0483, 0.3976], [0.0004, 0.7500, 0.0000], [0.8013, 0.4517, 0.6024], [0.4046, 0.8578, 0.8105], [0.9996, 0.2500, 0.0000], [0.5942, 0.6422, 0.1895], [0.5954, 0.1422, 0.1895]],
  "space_group": "I4/mmm (139)",
  "total_magnetization_mub_per_atom": 0.00,
  "ef_kcal_per_mol_atoms": -0.44,
  "energy_ev_per_atom": -4.063,
  "relative_energy_ev_per_atom": 0.000
}

=====

[6]
{
  "formula": "PmEr2Mg",
  "functional": "GGA-PBE",
  "state": "relaxed",
  "lattice": [[-2.4959, 0.1293, 2.3741], [0.7515, -0.5333, 3.3217], [1.4370, 11.8582, 3.3672]],
  "species": ["Er", "Er", "Mg", "Pm"],
  "fractional_positions": [[0.9115, 0.9115, 0.2654], [0.0885, 0.0885, 0.7346], [0.0000, 0.0000, 0.0000], [0.5000, 0.5000, 0.5000]],
  "space_group": "R-3m (166)",
  "total_magnetization_mub_per_atom": 0.00,
  "ef_kcal_per_mol_atoms": 4.99,
  "energy_ev_per_atom": -3.651,
  "relative_energy_ev_per_atom": 0.244
}

=====

[7]
{
  "formula": "PmEr2Mg",
  "functional": "GGA-PBE",
  "state": "relaxed",
  "lattice": [[4.9621, 0.0000, 0.0000], [0.0000, 4.8939, 0.0000], [0.0000, 0.0000, 4.8939]],
  "species": ["Mg", "Er", "Pm", "Er"],
  "fractional_positions": [[0.5000, 0.0000, 0.0000], [0.0000, 0.0000, 0.5000], [0.5000, 0.5000, 0.5000], [0.0000, 0.5000, 0.0000]],
  "space_group": "P4/mmm (123)",
  "total_magnetization_mub_per_atom": 0.00,
  "ef_kcal_per_mol_atoms": 0.54,
  "energy_ev_per_atom": -3.844,
  "relative_energy_ev_per_atom": 0.052
}

=====

[8]
{
  "formula": "PmEr2Mg4",
  "functional": "GGA-PBE",
  "state": "relaxed",
  "lattice": [[-2.8878, -1.3884, 1.4904], [4.3112, -4.0773, 4.5554], [0.4411, 5.0187, 5.5299]],
  "species": ["Er", "Mg", "Mg", "Mg", "Pm", "Mg", "Er"],
  "fractional_positions": [[0.0000, 0.1937, 0.8063], [0.0000, 0.7581, 0.7581], [0.5000, 0.0000, 0.5000], [0.5000, 0.5000, 0.0000], [0.5000, 0.5000, 0.5000], [0.0000, 0.2419, 0.2419], [0.0000, 0.8063, 0.1937]],
  "space_group": "Cmmm (65)",
  "total_magnetization_mub_per_atom": 0.00,
  "ef_kcal_per_mol_atoms": 2.14,
  "energy_ev_per_atom": -2.801,
  "relative_energy_ev_per_atom": 0.000
}

=====

> Number 1 is which compound?

Pm2ErMg9